No. 1
Here is Tc2IrO8 after structural relaxation from Alexandria via LeMat-Bulk. Energies are from GGA-PBE.

a b c (Å): 5.3455 9.0302 6.6319
angles (deg): 132.91 83.83 90.00
With the nearest neighbours (Å) after each atom.
Atoms (fractional coordinates):
Tc1 0.6931 0.2378 0.4755  4 O 1.70-1.85
O1 0.2339 0.5972 0.1944  1 Tc 1.70
Tc2 0.3069 0.7622 0.5245  4 O 1.70-1.85
O2 0.1637 0.7129 0.7376  1 Tc 1.85, 1 Ir 2.01
O3 0.6291 0.7542 0.5083  1 Tc 1.71
O4 0.3709 0.2458 0.4917  1 Tc 1.71
Ir1 0.0000 0.0000 0.0000  4 O 2.01
O5 0.1637 0.0247 0.7376  1 Tc 1.85, 1 Ir 2.01
O6 0.8363 0.9753 0.2624  1 Tc 1.85, 1 Ir 2.01
O7 0.7661 0.4028 0.8056  1 Tc 1.70
O8 0.8363 0.2871 0.2624  1 Tc 1.85, 1 Ir 2.01

Values from the calculation:
raw formation energy = -10.25 eV per formula unit

No. 2
Here is MgInAu2 after structural relaxation from Alexandria via LeMat-Bulk. Energies are from GGA-PBE.

a b c (Å): 3.7331 3.7331 5.7241
angles (deg): 90.00 90.00 89.99
With the nearest neighbours (Å) after each atom.
Atoms (fractional coordinates):
Au1 0.5000 0.5000 0.2762  2 Mg 2.80-2.92, 4 In 2.87
Au2 0.0000 0.0000 0.9657  2 In 2.83-2.89, 4 Mg 2.83
Mg1 0.5000 0.5000 0.7869  6 Au 2.80-2.92
In1 0.0000 0.0000 0.4712  6 Au 2.83-2.89

Values from the calculation:
E_form = -0.340 eV/atom

No. 3
Here is TcIr2I after structural relaxation from Alexandria via LeMat-Bulk. Energies are from GGA-PBE.

a b c (Å): 4.6039 4.6039 4.6039
angles (deg): 60.00 60.00 60.00
With the nearest neighbours (Å) after each atom.
Atoms (fractional coordinates):
Ir1 0.2500 0.2500 0.2500  4 Tc 2.82, 4 I 2.82
Ir2 0.7500 0.7500 0.7500  4 I 2.82, 4 Tc 2.82
I1 0.5000 0.5000 0.5000  8 Ir 2.82
Tc1 0.0000 0.0000 0.0000  8 Ir 2.82

Values from the calculation:
raw formation energy = 4.80 eV per formula unit

No. 4
Here is Y6Ge2TeAs3 after structural relaxation from Alexandria via LeMat-Bulk. Energies are from GGA-PBE.

a b c (Å): 4.1145 8.4795 9.3719
angles (deg): 103.42 102.68 90.00
With the nearest neighbours (Å) after each atom.
Atoms (fractional coordinates):
Y1 0.6731 0.0855 0.3463  3 As 2.90-2.94, 2 Ge 2.96, 1 Te 3.08
As1 0.1634 0.8338 0.3268  6 Y 2.90-2.95
Te1 0.5000 0.0000 0.0000  6 Y 3.06-3.08
As2 0.5000 0.5000 0.0000  6 Y 2.85-2.97
Ge1 0.8333 0.6666 0.6666  6 Y 2.94-2.98
Ge2 0.1667 0.3334 0.3334  6 Y 2.94-2.98
Y2 0.9984 0.7315 0.9968  3 As 2.85-2.94, 1 Ge 2.94, 2 Te 3.06
Y3 0.6670 0.5870 0.3341  3 As 2.95-2.97, 3 Ge 2.95-2.98
Y4 0.3330 0.4130 0.6659  3 As 2.95-2.97, 3 Ge 2.95-2.98
As3 0.8366 0.1662 0.6732  6 Y 2.90-2.95
Y5 0.3269 0.9145 0.6537  3 As 2.90-2.94, 2 Ge 2.96, 1 Te 3.08
Y6 0.0016 0.2685 0.0032  3 As 2.85-2.94, 1 Ge 2.94, 2 Te 3.06

Values from the calculation:
raw formation energy = -15.34 eV per formula unit

No. 5
Here is Er2FeGe4 after structural relaxation from Alexandria via LeMat-Bulk. Energies are from GGA-PBE.

a b c (Å): 8.0172 8.0172 4.1234
angles (deg): 90.00 90.00 149.86
With the nearest neighbours (Å) after each atom.
Atoms (fractional coordinates):
Ge1 0.5654 0.4346 0.5000  2 Ge 2.69, 4 Er 2.99
Ge2 0.2404 0.7596 0.5000  2 Fe 2.30
Er1 0.1018 0.8982 0.0000  10 Ge 2.98-3.10, 1 Fe 3.16
Fe1 0.3059 0.6941 0.0000  5 Ge 2.29-2.33
Er2 0.8965 0.1035 0.5000  10 Ge 3.06-3.34, 4 Fe 3.25
Ge3 0.7391 0.2609 0.0000  2 Fe 2.33
Ge4 0.4539 0.5461 0.0000  1 Fe 2.29

Values from the calculation:
E_form = -0.568 eV/atom

No. 6
Here is ZrScAs after structural relaxation from Alexandria via LeMat-Bulk. Energies are from GGA-PBE.

a b c (Å): 4.5190 4.5190 4.5190
angles (deg): 60.00 60.00 60.00
With the nearest neighbours (Å) after each atom.
Atoms (fractional coordinates):
As1 0.2500 0.2500 0.2500  4 Zr 2.77, 4 Sc 2.77
Sc1 0.0000 0.0000 0.0000  4 As 2.77
Zr1 0.5000 0.5000 0.5000  4 As 2.77

Values from the calculation:
E_form = -0.654 eV/atom

No. 7
Here is AcGdSnTe after structural relaxation from Alexandria via LeMat-Bulk. Energies are from GGA-PBE.

a b c (Å): 5.6255 5.6255 5.6255
angles (deg): 60.00 60.00 60.00
With the nearest neighbours (Å) after each atom.
Atoms (fractional coordinates):
Sn1 0.7500 0.7500 0.7500  4 Ac 3.44, 4 Gd 3.44
Ac1 0.5000 0.5000 0.5000  4 Sn 3.44, 4 Te 3.44
Gd1 0.0000 0.0000 0.0000  4 Te 3.44, 4 Sn 3.44
Te1 0.2500 0.2500 0.2500  4 Gd 3.44, 4 Ac 3.44

Values from the calculation:
raw formation energy = -3.50 eV per formula unit

No. 8
Here is AcIO4F after structural relaxation from Alexandria via LeMat-Bulk. Energies are from GGA-PBE.

a b c (Å): 6.3886 6.3886 7.1068
angles (deg): 82.92 82.92 75.49
With the nearest neighbours (Å) after each atom.
Atoms (fractional coordinates):
O1 0.2122 0.2122 0.5120  1 I 1.90
O2 0.1422 0.4867 0.1579  1 I 1.85
O3 0.5133 0.8578 0.8421  1 I 1.85
Ac1 0.8034 0.8034 0.1217  2 F 2.41-2.44, 4 O 2.57-2.58
O4 0.5510 0.5510 0.2489  1 I 1.90
Ac2 0.1966 0.1966 0.8783  2 F 2.41-2.44, 4 O 2.57-2.58
O5 0.4867 0.1422 0.1579  1 I 1.85
F1 0.0338 0.0338 0.1712  2 Ac 2.41-2.44, 1 F 2.63
O6 0.7878 0.7878 0.4880  1 I 1.90
O7 0.8578 0.5133 0.8421  1 I 1.85
F2 0.9662 0.9662 0.8288  2 Ac 2.41-2.44, 1 F 2.63
I1 0.6384 0.6384 0.6863  4 O 1.85-1.90
O8 0.4490 0.4490 0.7511  1 I 1.90
I2 0.3616 0.3616 0.3137  4 O 1.85-1.90

Values from the calculation:
raw formation energy = -11.87 eV per formula unit

No. 9
Here is Li2ZnSi after structural relaxation from Alexandria via LeMat-Bulk. Energies are from GGA-PBE.

a b c (Å): 7.1955 7.1955 5.6905
angles (deg): 50.78 50.78 90.00
With the nearest neighbours (Å) after each atom.
Atoms (fractional coordinates):
Li1 0.6248 0.1250 0.2500  2 Li 2.55, 2 Si 2.62, 2 Zn 2.62
Li2 0.1252 0.6250 0.2500  2 Li 2.55, 2 Si 2.62, 2 Zn 2.62
Li3 0.8750 0.8748 0.7500  2 Li 2.55, 2 Si 2.62, 2 Zn 2.62
Zn1 0.0000 0.0000 0.0000  2 Si 2.55, 4 Li 2.62
Si1 0.2500 0.7500 0.5000  2 Zn 2.55, 4 Li 2.62
Si2 0.5000 0.5000 0.0000  2 Zn 2.55, 4 Li 2.62
Li4 0.3750 0.3752 0.7500  2 Li 2.55, 2 Si 2.62, 2 Zn 2.62
Zn2 0.7500 0.2500 0.5000  2 Si 2.55, 4 Li 2.62

Values from the calculation:
raw formation energy = 0.51 eV per formula unit

No. 10
Here is TmThIn6 after structural relaxation from Alexandria via LeMat-Bulk. Energies are from GGA-PBE.

a b c (Å): 4.6814 4.6814 9.3487
angles (deg): 90.00 90.00 90.00
With the nearest neighbours (Å) after each atom.
Atoms (fractional coordinates):
In1 0.5000 0.5000 0.5000  8 In 3.26, 4 Tm 3.31
In2 0.5000 0.5000 0.0000  4 Th 3.31, 8 In 3.36
In3 0.5000 0.0000 0.2577  8 In 3.26-3.36, 2 Tm 3.26, 2 Th 3.36
In4 0.0000 0.5000 0.7423  8 In 3.26-3.36, 2 Tm 3.26, 2 Th 3.36
Th1 0.0000 0.0000 0.0000  12 In 3.31-3.36
In5 0.5000 0.0000 0.7423  8 In 3.26-3.36, 2 Tm 3.26, 2 Th 3.36
Tm1 0.0000 0.0000 0.5000  12 In 3.26-3.31
In6 0.0000 0.5000 0.2577  8 In 3.26-3.36, 2 Tm 3.26, 2 Th 3.36

Values from the calculation:
E_form = -0.357 eV/atom

No. 11
Here is KSrTa after structural relaxation from Alexandria via LeMat-Bulk. Energies are from GGA-PBE.

a b c (Å): 4.6243 6.8889 15.8417
angles (deg): 90.00 90.00 90.00
With the nearest neighbours (Å) after each atom.
Atoms (fractional coordinates):
K1 0.2671 0.7500 0.1667  2 K 3.51, 2 Sr 3.82, 2 Ta 3.87
Ta1 0.2532 0.7500 0.7781  2 Ta 2.48
K2 0.2329 0.2500 0.6667  2 K 3.51, 2 Sr 3.82, 2 Ta 3.87
Sr1 0.7551 0.7500 0.9378  3 Ta 3.42-3.43, 2 K 3.82
Ta2 0.7468 0.2500 0.2219  2 Ta 2.48
Sr2 0.7449 0.2500 0.4378  3 Ta 3.42-3.43, 2 K 3.82
K3 0.7671 0.7500 0.3333  2 K 3.51, 2 Sr 3.82, 2 Ta 3.87
K4 0.7329 0.2500 0.8333  2 K 3.51, 2 Sr 3.82, 2 Ta 3.87
Sr3 0.2449 0.2500 0.0622  3 Ta 3.42-3.43, 2 K 3.82
Ta3 0.7532 0.7500 0.7219  2 Ta 2.48
Ta4 0.2468 0.2500 0.2781  2 Ta 2.48
Sr4 0.2551 0.7500 0.5622  3 Ta 3.42-3.43, 2 K 3.82

Values from the calculation:
E_form = 0.901 eV/atom

No. 12
Here is CaCdPb after structural relaxation from Alexandria via LeMat-Bulk. Energies are from GGA-PBE.

a b c (Å): 3.7550 3.7550 7.4918
angles (deg): 90.00 90.00 120.00
With the nearest neighbours (Å) after each atom.
Atoms (fractional coordinates):
Ca1 0.0000 0.0000 0.0078  3 Cd 3.29, 3 Pb 3.42
Cd1 0.6667 0.3333 0.3378  3 Pb 3.21, 3 Ca 3.29
Pb1 0.3333 0.6667 0.6544  3 Cd 3.21, 3 Ca 3.42

Values from the calculation:
E_form = -0.183 eV/atom

no.,uncorrected energy (eV/cell)
1,-79.51
2,-12.25
3,-24.84
4,-80.45
5,-40.04
6,-21.49
7,-28.83
8,-78.47
9,-20.03
10,-31.18
11,-47.71
12,-7.17